[1]
Here is a relaxed structure of BaNaNbO4 from the Alexandria database. Energies are from PBE.

Output
- Symmetry: P2_1/m (11)
- DOS(E_F): 0.000 states/eV/atom
- ΔE_f (raw): -2526 meV/atom

Structure (CIF):
```
data_BaNaNbO4
_chemical_formula_sum 'Ba2 Na2 Nb2 O8'
_symmetry_space_group_name_H-M 'P 1'
_symmetry_Int_Tables_number 1
_cell_length_a 6.3209
_cell_length_b 6.3188
_cell_length_c 7.2244
_cell_angle_alpha 90.00
_cell_angle_beta 110.00
_cell_angle_gamma 90.00
loop_
_symmetry_equiv_pos_as_xyz
'x,y,z'
loop_
_atom_site_label
_atom_site_type_symbol
_atom_site_fract_x
_atom_site_fract_y
_atom_site_fract_z
O1 O 0.5125 0.2500 0.8125
O2 O 0.0863 0.9805 0.2531
Na1 Na 0.1681 0.2500 0.4922
O3 O 0.9137 0.4805 0.7469
O4 O 0.4499 0.7500 0.5990
Nb1 Nb 0.2879 0.7500 0.3304
Nb2 Nb 0.7121 0.2500 0.6696
Na2 Na 0.8319 0.7500 0.5078
O5 O 0.5501 0.2500 0.4010
O6 O 0.0863 0.5195 0.2531
O7 O 0.9137 0.0195 0.7469
O8 O 0.4875 0.7500 0.1875
Ba1 Ba 0.2632 0.2500 0.0392
Ba2 Ba 0.7368 0.7500 0.9608
```

***

[2]
Here is a relaxed structure of NaH2S4 from the Alexandria database. Energies are from PBE.

Output
- Uncorrected energy: -51.23 eV/cell
- Symmetry: P1 (1)
- DOS(E_F): 0.384 states/eV/atom

Structure (CIF):
```
data_NaH2S4
_chemical_formula_sum 'Na2 H4 S8'
_symmetry_space_group_name_H-M 'P 1'
_symmetry_Int_Tables_number 1
_cell_length_a 7.1930
_cell_length_b 7.2010
_cell_length_c 9.6476
_cell_angle_alpha 93.73
_cell_angle_beta 93.71
_cell_angle_gamma 144.92
loop_
_symmetry_equiv_pos_as_xyz
'x,y,z'
loop_
_atom_site_label
_atom_site_type_symbol
_atom_site_fract_x
_atom_site_fract_y
_atom_site_fract_z
Na1 Na 0.0585 0.5577 0.5012
H1 H 0.2424 0.3242 0.6492
H2 H 0.8453 0.4320 0.8514
H3 H 0.5742 0.9921 0.1498
S1 S 0.6865 0.9169 0.5918
S2 S 0.1677 0.4370 0.0923
S3 S 0.9238 0.9058 0.3190
S4 S 0.8490 0.3339 0.1832
S5 S 0.5846 0.5995 0.6827
Na2 Na 0.8068 0.8096 0.0007
H4 H 0.6812 0.5942 0.3508
S6 S 0.3431 0.0797 0.9045
S7 S 0.3298 0.0927 0.4041
S8 S 0.1572 0.6749 0.8195
```

***

[3]
Here is a relaxed structure of SrPRu2 from the Alexandria database. Energies are from PBE.

Output
- ΔH_f (0 K): 490 meV/atom
- Symmetry: P4/mmm (123)
- DOS(E_F): 1.325 states/eV/atom

Structure (CIF):
```
data_SrPRu2
_chemical_formula_sum 'Sr1 P1 Ru2'
_symmetry_space_group_name_H-M 'P 1'
_symmetry_Int_Tables_number 1
_cell_length_a 4.2228
_cell_length_b 4.2228
_cell_length_c 3.7764
_cell_angle_alpha 90.00
_cell_angle_beta 90.00
_cell_angle_gamma 90.00
loop_
_symmetry_equiv_pos_as_xyz
'x,y,z'
loop_
_atom_site_label
_atom_site_type_symbol
_atom_site_fract_x
_atom_site_fract_y
_atom_site_fract_z
Ru1 Ru 0.0000 0.5000 0.0000
Sr1 Sr 0.5000 0.5000 0.5000
P1 P 0.0000 0.0000 0.5000
Ru2 Ru 0.5000 0.0000 0.0000
```

***

[4]
Here is a relaxed structure of DyBePt3 from the Alexandria database. Energies are from PBE.

Output
- ΔH_f (0 K): -841 meV/atom
- Offset from the most stable computed form: 0.1250 eV/atom
- Symmetry: Pm-3m (221)
- DOS(E_F): 0.654 states/eV/atom

Structure (CIF):
```
data_DyBePt3
_chemical_formula_sum 'Dy1 Be1 Pt3'
_symmetry_space_group_name_H-M 'P 1'
_symmetry_Int_Tables_number 1
_cell_length_a 4.3683
_cell_length_b 4.3683
_cell_length_c 4.3683
_cell_angle_alpha 90.00
_cell_angle_beta 90.00
_cell_angle_gamma 90.00
loop_
_symmetry_equiv_pos_as_xyz
'x,y,z'
loop_
_atom_site_label
_atom_site_type_symbol
_atom_site_fract_x
_atom_site_fract_y
_atom_site_fract_z
Be1 Be 0.0000 0.0000 0.0000
Pt1 Pt 0.5000 0.0000 0.0000
Pt2 Pt 0.0000 0.0000 0.5000
Pt3 Pt 0.0000 0.5000 0.0000
Dy1 Dy 0.5000 0.5000 0.5000
```